w) Ba3Re | PBE-GGA | optimized geometry

Symmetry   P6_3/mmc
Spin magnetization   0.0 Bohr magnetons per cell

POSCAR file:
```
Ba3Re
1.0
6.562 6.020 -2.522
-7.176 2.846 5.106
2.320 -0.943 3.785
Ba Re
6 2
Cartesian
1.772 2.747 0.959
1.527 6.284 1.989
4.390 5.149 -0.048
-0.066 5.177 5.411
0.179 1.640 4.380
-2.684 2.775 6.417
3.723 4.255 2.860
-2.017 3.669 3.510
```

---

x) Ba3Re | PBE-GGA | optimized geometry

Symmetry   R-3m
Spin magnetization   2.0 Bohr magnetons per cell

POSCAR file:
```
Ba3Re
1.0
-3.701 3.928 -4.301
-0.165 -6.811 -1.101
0.341 2.071 6.574
Ba Re
3 1
Cartesian
0.088 -2.370 2.736
-1.680 3.000 1.137
0.000 0.000 0.000
-1.933 -1.441 -2.701
```

---

Most stable one: w), least stable one: x).

---

w) Li2SiSe | PBE-GGA | optimized geometry

Symmetry   C2/m
Spin magnetization   0.0 Bohr magnetons per cell

POSCAR file:
```
Li2SiSe
1.0
-4.403 -3.048 -3.839
2.621 -2.423 3.446
-2.418 -0.801 1.158
Si Li Se
1 2 1
Cartesian
-0.891 -2.735 -0.196
-3.410 -1.924 -1.340
0.000 0.000 0.000
0.102 -1.612 2.302
```

---

x) Li2SiSe | PBE-GGA | optimized geometry

Symmetry   R-3m
Spin magnetization   0.0 Bohr magnetons per cell

POSCAR file:
```
Li2SiSe
1.0
8.442 -0.015 -0.009
7.896 2.985 -0.009
7.896 1.436 2.617
Si Se Li
1 1 2
Cartesian
18.176 3.304 1.950
6.059 1.101 0.650
24.119 4.385 2.587
12.232 2.224 1.312
```

---

Most stable one: w), least stable one: x).

---

w) Sr2PuO6 | PBE-GGA | optimized geometry

Symmetry   Immm
Spin magnetization   0.0 Bohr magnetons per cell

POSCAR file:
```
Sr2PuO6
1.0
4.051 0.000 -0.161
0.000 5.708 0.000
-1.801 -2.854 5.725
O Sr Pu
6 2 1
Cartesian
0.062 4.439 1.551
0.062 1.270 1.551
2.025 4.523 -0.081
2.025 1.186 -0.081
2.188 1.584 4.013
2.188 -1.584 4.013
2.098 2.854 1.756
0.152 0.000 3.808
0.000 0.000 0.000
```

---

x) Sr2PuO6 | PBE-GGA | optimized geometry

Symmetry   P4/mnc
Spin magnetization   0.0 Bohr magnetons per cell

POSCAR file:
```
Sr2PuO6
1.0
6.018 0.000 0.000
0.000 6.018 0.000
0.000 0.000 8.401
O Pu Sr
12 2 4
Cartesian
1.802 0.796 0.000
1.207 3.805 4.200
0.000 0.000 1.961
3.009 3.009 2.239
4.811 2.213 4.200
5.222 1.802 0.000
3.805 4.811 4.200
2.213 1.207 4.200
4.216 5.222 0.000
3.009 3.009 6.162
0.000 0.000 6.439
0.796 4.216 0.000
3.009 3.009 4.200
0.000 0.000 0.000
3.009 0.000 2.100
0.000 3.009 6.301
0.000 3.009 2.100
3.009 0.000 6.301
```

---

Most stable one: x), least stable one: w).

---

w) Al2AgRh | PBE-GGA | optimized geometry

Symmetry   R3m
Spin magnetization   0.0 Bohr magnetons per cell

POSCAR file:
```
Al2AgRh
1.0
-5.814 -3.131 -5.849
-3.640 -5.020 -6.275
-5.557 -5.467 -4.129
Rh Al Ag
1 2 1
Cartesian
-7.618 -6.911 -8.248
-14.993 -13.601 -16.233
-3.665 -3.325 -3.968
-11.252 -10.207 -12.182
```

---

x) Al2AgRh | PBE-GGA | optimized geometry

Symmetry   Imm2
Spin magnetization   0.0 Bohr magnetons per cell

POSCAR file:
```
Al2AgRh
1.0
-4.725 1.647 -1.018
-3.516 -3.494 -1.225
3.402 1.042 3.662
Ag Al Rh
1 2 1
Cartesian
-2.139 -1.692 0.652
-8.231 -1.844 -2.240
-2.612 0.908 0.791
-4.217 -0.945 -1.147
```

---

Most stable one: x), least stable one: w).

---

w) OsRuSe | PBE-GGA | optimized geometry

Symmetry   Imm2
Spin magnetization   0.0 Bohr magnetons per cell

POSCAR file:
```
OsRuSe
1.0
-3.990 -0.756 -2.269
-3.767 -0.774 2.617
3.395 3.065 -0.849
Ru Os Se
1 1 1
Cartesian
-2.645 -0.522 0.119
-7.701 -1.519 0.346
-5.168 -1.019 0.232
```

---

x) OsRuSe | PBE-GGA | optimized geometry

Symmetry   P-6m2
Spin magnetization   0.0 Bohr magnetons per cell

POSCAR file:
```
OsRuSe
1.0
-0.424 2.828 -0.485
-2.155 -1.630 1.054
3.713 2.531 11.504
Ru Se Os
2 2 2
Cartesian
-2.104 -0.192 0.721
-0.248 1.074 6.474
0.068 0.357 2.020
2.594 2.079 9.845
0.946 2.980 7.871
-0.288 2.139 4.050
```

---

Most stable one: x), least stable one: w).

---

w) CsK2Al | PBE-GGA | optimized geometry

Symmetry   Immm
Spin magnetization   1.9 Bohr magnetons per cell

POSCAR file:
```
CsK2Al
1.0
14.341 0.000 0.000
0.000 7.002 0.000
0.000 0.000 4.595
K Al Cs
4 2 2
Cartesian
2.762 0.000 0.000
9.932 3.501 2.298
11.579 0.000 0.000
4.409 3.501 2.298
7.170 3.501 0.000
0.000 0.000 2.298
7.170 0.000 2.298
0.000 3.501 0.000
```

---

x) CsK2Al | PBE-GGA | optimized geometry

Symmetry   P1
Spin magnetization   0.0 Bohr magnetons per cell

POSCAR file:
```
CsK2Al
1.0
-2.485 6.723 -0.941
-2.778 -0.453 -6.910
-9.188 -0.370 3.271
K Cs Al
4 2 2
Cartesian
-4.643 1.185 -2.331
-9.584 2.087 2.058
-4.356 5.740 -0.194
-8.239 6.172 1.015
-3.570 4.912 -4.652
-8.336 3.127 -2.511
-6.354 1.921 -5.889
-6.086 2.787 0.743
```

---

Most stable one: x), least stable one: w).